K2CeCr3F12 after structural relaxation. Source: Alexandria via LeMat-Bulk, functional GGA+U.

POSCAR file:
```
K2CeCr3F12
1.0
7.119 -0.252 -0.179
3.297 6.314 -0.179
3.297 1.919 6.018
F Ce Cr K
12 1 3 2
Direct
0.400 0.872 0.872
0.726 0.106 0.726
0.600 0.128 0.128
0.872 0.400 0.872
0.872 0.872 0.400
0.128 0.600 0.128
0.726 0.726 0.106
0.274 0.894 0.274
0.274 0.274 0.894
0.106 0.726 0.726
0.128 0.128 0.600
0.894 0.274 0.274
0.000 0.000 0.000
0.000 0.000 0.500
0.500 0.000 0.000
0.000 0.500 0.000
0.383 0.383 0.383
0.617 0.617 0.617
```

D(E_F) = 0.53 states/eV/atom
Energy = -5.742 eV per atom
Magnetization = 8.2 μB/f.u.